#a
Below is crystalline RbTbSmTe3 at its relaxed geometry, with properties calculated at the PBE level.

## Properties
V   40.41 A^3/atom
SG   Cmcm

Lattice parameters (Å, degrees): 8.7326 8.7326 11.9947 90.00 90.00 147.98
Last column: nearest neighbours and their distance in Å.
Atoms (fractional coordinates):
Rb: 0.2446 0.7554 0.7500  8 Te 3.80-4.06
Rb: 0.7554 0.2446 0.2500  8 Te 3.80-4.06
Tb: 0.0330 0.9670 0.2500  4 Te 2.93-2.96
Tb: 0.9670 0.0330 0.7500  4 Te 2.93-2.96
Sm: 0.5000 0.5000 0.0000  6 Te 3.22-3.26
Sm: 0.5000 0.5000 0.5000  6 Te 3.22-3.26
Te: 0.1272 0.8728 0.0446  1 Tb 2.93, 2 Sm 3.26
Te: 0.1272 0.8728 0.4554  1 Tb 2.93, 2 Sm 3.26
Te: 0.4305 0.5695 0.2500  2 Tb 2.96, 2 Sm 3.22
Te: 0.5695 0.4305 0.7500  2 Tb 2.96, 2 Sm 3.22
Te: 0.8728 0.1272 0.5446  1 Tb 2.93, 2 Sm 3.26
Te: 0.8728 0.1272 0.9554  1 Tb 2.93, 2 Sm 3.26

---

#b
Below is crystalline RbTbSmTe3 at its relaxed geometry, with properties calculated at the PBE level.

## Properties
V   36.53 A^3/atom
SG   C2/m

Lattice parameters (Å, degrees): 9.9686 9.9686 10.2649 102.60 102.60 26.16
Last column: nearest neighbours and their distance in Å.
Atoms (fractional coordinates):
Rb: 0.1499 0.1499 0.0630  7 Te 3.63-3.71
Rb: 0.8501 0.8501 0.9370  7 Te 3.63-3.71
Tb: 0.5004 0.5004 0.2909  5 Te 2.98-3.13
Tb: 0.4996 0.4996 0.7091  5 Te 2.98-3.13
Sm: 0.1685 0.1685 0.5726  6 Te 3.14-3.19
Sm: 0.8315 0.8315 0.4274  6 Te 3.14-3.19
Te: 0.0000 0.0000 0.5000  4 Tb 3.12, 2 Sm 3.19
Te: 0.3342 0.3342 0.6448  1 Tb 3.13, 3 Sm 3.14-3.17
Te: 0.3384 0.3384 0.2183  1 Tb 3.07, 2 Sm 3.14
Te: 0.5000 0.5000 0.0000  2 Tb 2.98
Te: 0.6616 0.6616 0.7817  1 Tb 3.07, 2 Sm 3.14
Te: 0.6658 0.6658 0.3552  1 Tb 3.13, 3 Sm 3.14-3.17

---

The winner here is #b, beating the second structure by 71 meV/atom.

---

#a
Below is crystalline Na2Nb at its relaxed geometry, with properties calculated at the PBE level.

## Properties
V   33.78 A^3/atom
SG   Fm-3m

Lattice parameters (Å, degrees): 5.2334 5.2334 5.2334 60.00 60.00 60.00
Last column: nearest neighbours and their distance in Å.
Atoms (fractional coordinates):
Na: 0.2500 0.2500 0.2500  4 Nb 3.20
Na: 0.7500 0.7500 0.7500  4 Nb 3.20
Nb: 0.0000 0.0000 0.0000  8 Na 3.20

---

#b
Below is crystalline Na2Nb at its relaxed geometry, with properties calculated at the PBE level.

## Properties
V   20.59 A^3/atom
SG   Fd-3m

Lattice parameters (Å, degrees): 5.5906 5.5906 5.5906 60.00 60.00 60.00
Last column: nearest neighbours and their distance in Å.
Atoms (fractional coordinates):
Na: 0.0000 0.0000 0.0000  6 Na 2.80
Na: 0.0000 0.0000 0.5000  6 Na 2.80
Na: 0.0000 0.5000 0.0000  6 Na 2.80
Na: 0.5000 0.0000 0.0000  6 Na 2.80
Nb: 0.3750 0.3750 0.3750  12 Na 3.28, 4 Nb 3.42
Nb: 0.6250 0.6250 0.6250  12 Na 3.28, 4 Nb 3.42

---

The winner here is #b, beating the second structure by 468 meV/atom.

---

#a
Below is crystalline Gd3Er2Mg3 at its relaxed geometry, with properties calculated at the PBE level.

## Properties
V   28.84 A^3/atom
SG   Amm2

Lattice parameters (Å, degrees): 5.5462 6.8477 6.8477 62.51 90.00 90.00
Last column: nearest neighbours and their distance in Å.
Atoms (fractional coordinates):
Gd: 0.0000 0.0000 0.0000  4 Gd 3.39, 4 Mg 3.39-3.46, 4 Er 3.49-3.56
Gd: 0.5000 0.3179 0.8246  4 Gd 3.39-3.60, 4 Mg 3.41-3.44, 4 Er 3.42-3.45
Gd: 0.5000 0.8246 0.3179  4 Gd 3.39-3.60, 4 Mg 3.41-3.44, 4 Er 3.42-3.45
Er: 0.0000 0.4866 0.4866  6 Mg 3.39-3.43, 6 Gd 3.45-3.56
Er: 0.5000 0.8194 0.8194  6 Mg 3.37-3.55, 6 Gd 3.42-3.49
Mg: 0.0000 0.5044 0.9787  4 Mg 3.37-3.74, 4 Er 3.37-3.43, 4 Gd 3.39-3.46
Mg: 0.0000 0.9787 0.5044  4 Mg 3.37-3.74, 4 Er 3.37-3.43, 4 Gd 3.39-3.46
Mg: 0.5000 0.3207 0.3207  4 Er 3.39-3.55, 4 Gd 3.41-3.44, 4 Mg 3.47

---

#b
Below is crystalline Gd3Er2Mg3 at its relaxed geometry, with properties calculated at the PBE level.

## Properties
V   28.89 A^3/atom
SG   P-6m2

Lattice parameters (Å, degrees): 6.9062 6.9062 5.5958 90.00 90.00 120.00
Last column: nearest neighbours and their distance in Å.
Atoms (fractional coordinates):
Gd: 0.0031 0.5016 0.0000  4 Gd 3.42-3.49, 4 Er 3.42-3.45, 4 Mg 3.43
Gd: 0.4984 0.5016 0.0000  4 Gd 3.42-3.49, 4 Er 3.42-3.45, 4 Mg 3.43
Gd: 0.4984 0.9969 0.0000  4 Gd 3.42-3.49, 4 Er 3.42-3.45, 4 Mg 3.43
Er: 0.0000 0.0000 0.0000  6 Gd 3.45, 6 Mg 3.46
Er: 0.3333 0.6667 0.5000  6 Gd 3.42, 6 Mg 3.45
Mg: 0.3405 0.1702 0.5000  4 Mg 3.38-3.53, 4 Gd 3.43, 4 Er 3.45-3.46
Mg: 0.8298 0.1702 0.5000  4 Mg 3.38-3.53, 4 Gd 3.43, 4 Er 3.45-3.46
Mg: 0.8298 0.6595 0.5000  4 Mg 3.38-3.53, 4 Gd 3.43, 4 Er 3.45-3.46

---

The winner here is #a, beating the second structure by 18 meV/atom.

---

#a
Below is crystalline LiLu2Ir at its relaxed geometry, with properties calculated at the PBE level.

## Properties
V   21.26 A^3/atom
SG   P6_3/mmc

Lattice parameters (Å, degrees): 4.9124 4.9124 8.1368 90.00 90.00 120.00
Last column: nearest neighbours and their distance in Å.
Atoms (fractional coordinates):
Li: 0.0000 0.0000 0.0000  6 Lu 2.92
Li: 0.0000 0.0000 0.5000  6 Lu 2.92
Lu: 0.3333 0.6667 0.0832  1 Ir 2.71, 1 Lu 2.71, 3 Li 2.92
Lu: 0.3333 0.6667 0.4168  1 Ir 2.71, 1 Lu 2.71, 3 Li 2.92
Lu: 0.6667 0.3333 0.5832  1 Ir 2.71, 1 Lu 2.71, 3 Li 2.92
Lu: 0.6667 0.3333 0.9168  1 Ir 2.71, 1 Lu 2.71, 3 Li 2.92
Ir: 0.3333 0.6667 0.7500  2 Lu 2.71
Ir: 0.6667 0.3333 0.2500  2 Lu 2.71

---

#b
Below is crystalline LiLu2Ir at its relaxed geometry, with properties calculated at the PBE level.

## Properties
V   26.44 A^3/atom
SG   P6_3/mmc

Lattice parameters (Å, degrees): 4.0278 4.0278 15.0557 90.00 90.00 120.00
Last column: nearest neighbours and their distance in Å.
Atoms (fractional coordinates):
Li: 0.3333 0.6667 0.2500  6 Lu 3.34
Li: 0.6667 0.3333 0.7500  6 Lu 3.34
Lu: 0.3333 0.6667 0.5912  3 Ir 2.70
Lu: 0.3333 0.6667 0.9088  3 Ir 2.70
Lu: 0.6667 0.3333 0.0912  3 Ir 2.70
Lu: 0.6667 0.3333 0.4088  3 Ir 2.70
Ir: 0.0000 0.0000 0.0000  6 Lu 2.70
Ir: 0.0000 0.0000 0.5000  6 Lu 2.70

---

#c
Below is crystalline LiLu2Ir at its relaxed geometry, with properties calculated at the PBE level.

## Properties
V   23.11 A^3/atom
SG   P6_3/mmc

Lattice parameters (Å, degrees): 4.1045 4.1045 12.6714 90.00 90.00 120.00
Last column: nearest neighbours and their distance in Å.
Atoms (fractional coordinates):
Li: 0.3333 0.6667 0.2500  3 Ir 2.37
Li: 0.6667 0.3333 0.7500  3 Ir 2.37
Lu: 0.3333 0.6667 0.6177  3 Ir 2.90, 3 Li 2.90
Lu: 0.3333 0.6667 0.8823  3 Ir 2.90, 3 Li 2.90
Lu: 0.6667 0.3333 0.1177  3 Ir 2.90, 3 Li 2.90
Lu: 0.6667 0.3333 0.3823  3 Ir 2.90, 3 Li 2.90
Ir: 0.0000 0.0000 0.2500  3 Li 2.37
Ir: 0.0000 0.0000 0.7500  3 Li 2.37

---

The winner here is #b, beating the second structure by 68 meV/atom.